Material: LiTbSn2
Method: DFT, GGA-PBE
State: relaxed

```
LiTbSn2
1.0
5.2057 0.0000 0.0000
2.6028 4.5082 0.0000
2.6028 1.5027 4.2504
Sn Tb Li
2 1 1
Direct
0.7500 0.7500 0.7500
0.2500 0.2500 0.2500
0.5000 0.5000 0.5000
0.0000 0.0000 0.0000
```

Computed properties:
* size of the total moment: 0.0 Bohr magnetons per cell
* crystal system: cubic
* DFT formation energy: -0.41 eV per atom
* V: 24.94 Å³/atom
* symmetry: Fm-3m (225)
* energy above the lowest structure with this stoichiometry: 0.63 eV/f.u.